No. 1
A plane-wave DFT calculation with PBEsol was carried out for an optimized crystal structure of YMg5.

Structure (CIF):
```
data_YMg5
_cell_length_a 3.503
_cell_length_b 3.503
_cell_length_c 11.596
_cell_angle_alpha 90.00
_cell_angle_beta 90.00
_cell_angle_gamma 90.00
_symmetry_space_group_name_H-M 'P 4/m m m'
_symmetry_Int_Tables_number 123
_symmetry_space_group_name_Hall '-P 4 2'
loop_
_atom_site_label
_atom_site_fract_x
_atom_site_fract_y
_atom_site_fract_z
Y1 0.000 0.000 0.000
Mg1 0.000 0.000 0.341
Mg2 0.500 0.500 0.186
Mg3 0.500 0.500 0.500
```

Summary:
Fermi-level density of states = 3.53 states/eV/cell
DFT formation energy = -0.037 eV/atom

No. 2
A plane-wave DFT calculation with PBEsol was carried out for an optimized crystal structure of Nb2TeN.

Structure (CIF):
```
data_Nb2TeN
_cell_length_a 6.305
_cell_length_b 6.305
_cell_length_c 6.305
_cell_angle_alpha 90.00
_cell_angle_beta 90.00
_cell_angle_gamma 90.00
_symmetry_space_group_name_H-M 'F m -3 m'
_symmetry_Int_Tables_number 225
_symmetry_space_group_name_Hall '-F 4 2 3'
loop_
_atom_site_label
_atom_site_fract_x
_atom_site_fract_y
_atom_site_fract_z
Nb1 0.250 0.250 0.250
Te1 0.000 0.000 0.000
N1 0.000 0.000 0.500
```

Summary:
Fermi-level density of states = 20.65 states/eV/cell
ΔE_f (raw) = 0.43 eV/atom

No. 3
A plane-wave DFT calculation with PBEsol was carried out for an optimized crystal structure of Na2HgMoO.

Structure (CIF):
```
data_Na2HgMoO
_cell_length_a 5.773
_cell_length_b 5.773
_cell_length_c 4.107
_cell_angle_alpha 90.00
_cell_angle_beta 90.00
_cell_angle_gamma 90.00
_symmetry_space_group_name_H-M 'P 4/m m m'
_symmetry_Int_Tables_number 123
_symmetry_space_group_name_Hall '-P 4 2'
loop_
_atom_site_label
_atom_site_fract_x
_atom_site_fract_y
_atom_site_fract_z
Na1 0.000 0.500 0.000
Hg1 0.000 0.000 0.000
Mo1 0.500 0.500 0.500
O1 0.000 0.000 0.500
```

Summary:
Fermi-level density of states = 1.34 states/eV/cell
ΔE_f (raw) = 1.03 eV/atom

No. 4
A plane-wave DFT calculation with PBEsol was carried out for an optimized crystal structure of Mg2PW.

Structure (CIF):
```
data_Mg2PW
_cell_length_a 3.222
_cell_length_b 4.126
_cell_length_c 9.392
_cell_angle_alpha 90.00
_cell_angle_beta 90.00
_cell_angle_gamma 90.00
_symmetry_space_group_name_H-M 'I m m m'
_symmetry_Int_Tables_number 71
_symmetry_space_group_name_Hall '-I 2 2'
loop_
_atom_site_label
_atom_site_fract_x
_atom_site_fract_y
_atom_site_fract_z
Mg1 0.000 0.000 0.227
P1 0.000 0.500 0.500
W1 0.000 0.500 0.000
```

Summary:
Fermi-level density of states = 4.46 states/eV/cell
DFT formation energy = 0.250 eV/atom

No. 5
A plane-wave DFT calculation with PBEsol was carried out for an optimized crystal structure of ZrBeIr.

Structure (CIF):
```
data_ZrBeIr
_cell_length_a 4.0829
_cell_length_b 4.0829
_cell_length_c 3.1006
_cell_angle_alpha 90.00
_cell_angle_beta 90.00
_cell_angle_gamma 120.00
_symmetry_space_group_name_H-M 'P -6 m 2'
_symmetry_Int_Tables_number 187
_symmetry_space_group_name_Hall 'P -6 2'
loop_
_atom_site_label
_atom_site_fract_x
_atom_site_fract_y
_atom_site_fract_z
Zr1 0.0000 0.0000 0.0000
Be1 0.6667 0.3333 0.5000
Ir1 0.3333 0.6667 0.5000
```

Summary:
excess energy over the best structure of this formula in the dataset = 0.000 eV per atom
Fermi-level density of states = 2.59 states/eV/cell
DFT formation energy = -0.577 eV/atom

No. 6
A plane-wave DFT calculation with PBEsol was carried out for an optimized crystal structure of KTe2Se.

Structure (CIF):
```
data_KTe2Se
_cell_length_a 3.659
_cell_length_b 3.659
_cell_length_c 8.254
_cell_angle_alpha 90.00
_cell_angle_beta 90.00
_cell_angle_gamma 90.00
_symmetry_space_group_name_H-M 'P 4 m m'
_symmetry_Int_Tables_number 99
_symmetry_space_group_name_Hall 'P 4 -2'
loop_
_atom_site_label
_atom_site_fract_x
_atom_site_fract_y
_atom_site_fract_z
K1 0.000 0.000 0.000
Te1 0.000 0.000 0.459
Te2 0.500 0.500 0.691
Se1 0.500 0.500 0.254
```

Summary:
Fermi-level density of states = 2.52 states/eV/cell
ΔE_f (raw) = -0.16 eV/atom

No. 7
A plane-wave DFT calculation with PBEsol was carried out for an optimized crystal structure of LaAgIr2.

Structure (CIF):
```
data_LaAgIr2
_cell_length_a 6.669
_cell_length_b 6.669
_cell_length_c 6.669
_cell_angle_alpha 90.00
_cell_angle_beta 90.00
_cell_angle_gamma 90.00
_symmetry_space_group_name_H-M 'F -4 3 m'
_symmetry_Int_Tables_number 216
_symmetry_space_group_name_Hall 'F -4 2 3'
loop_
_atom_site_label
_atom_site_fract_x
_atom_site_fract_y
_atom_site_fract_z
La1 0.000 0.000 0.000
Ag1 0.250 0.250 0.750
Ir1 0.000 0.000 0.500
Ir2 0.250 0.250 0.250
```

Summary:
excess energy over the best structure of this formula in the dataset = 0.046 eV per atom
Fermi-level density of states = 29.69 states/eV/cell
DFT formation energy = 0.219 eV/atom

No. 8
A plane-wave DFT calculation with PBEsol was carried out for an optimized crystal structure of AlGe2PdW.

Structure (CIF):
```
data_AlGe2PdW
_cell_length_a 4.563
_cell_length_b 4.563
_cell_length_c 4.593
_cell_angle_alpha 90.00
_cell_angle_beta 90.00
_cell_angle_gamma 90.00
_symmetry_space_group_name_H-M 'P 4/m m m'
_symmetry_Int_Tables_number 123
_symmetry_space_group_name_Hall '-P 4 2'
loop_
_atom_site_label
_atom_site_fract_x
_atom_site_fract_y
_atom_site_fract_z
Al1 0.000 0.000 0.000
Ge1 0.000 0.500 0.000
Pd1 0.500 0.500 0.500
W1 0.000 0.000 0.500
```

Summary:
Fermi-level density of states = 3.43 states/eV/cell
DFT formation energy = 1.392 eV/atom

Question: Look up the Fermi-level density of states of the eighth one.
Answer: 3.43 states/eV/cell

Question: Which formula does entry 8 have?
Answer: AlGe2PdW